(A)
! ScIn2W (GGA-PBE, relaxed); values from VASP
! Spin magnetization   0.145 μB/atom
! Crystal system   tetragonal
! SG   I-4m2 (119)
&SYSTEM
  ibrav = 0, nat = 8, ntyp = 3
/
ATOMIC_SPECIES
Sc 44.96 Sc.upf
In 114.82 In.upf
W 183.84 W.upf
CELL_PARAMETERS angstrom
4.177 0.000 0.000
0.000 4.177 0.000
0.000 0.000 9.225
ATOMIC_POSITIONS crystal
Sc 0.000 0.000 0.000
Sc 0.500 0.500 0.500
In 0.000 0.000 0.500
In 0.000 0.500 0.250
In 0.500 0.000 0.750
In 0.500 0.500 0.000
W 0.000 0.500 0.750
W 0.500 0.000 0.250

(B)
! ScIn2W (GGA-PBE, relaxed); values from VASP
! Spin magnetization   0.000 μB/atom
! Crystal system   tetragonal
! SG   I4/mmm (139)
&SYSTEM
  ibrav = 0, nat = 8, ntyp = 3
/
ATOMIC_SPECIES
Sc 44.96 Sc.upf
In 114.82 In.upf
W 183.84 W.upf
CELL_PARAMETERS angstrom
4.273 0.000 0.000
0.000 4.273 0.000
0.000 0.000 8.639
ATOMIC_POSITIONS crystal
Sc 0.000 0.000 0.000
Sc 0.500 0.500 0.500
In 0.000 0.500 0.250
In 0.000 0.500 0.750
In 0.500 0.000 0.250
In 0.500 0.000 0.750
W 0.000 0.000 0.500
W 0.500 0.500 0.000

Decreasing stability: (B), (A)